# GGA+U Co2Sn2F, optimized geometry
# Final energy: -20.519 eV/f.u.
# Total magnetic moment: 8.13 Bohr magnetons per cell
# Energy above the most stable polymorph in this dataset: 0.0112 eV per atom
# D(E_F): 2.555 states/eV/f.u.
data_Co2Sn2F
_chemical_formula_sum 'Co4 Sn4 F2'
_cell_length_a 7.225
_cell_length_b 7.225
_cell_length_c 3.565
_cell_angle_alpha 90.00
_cell_angle_beta 90.00
_cell_angle_gamma 90.00
_symmetry_space_group_name_H-M 'P 4/m b m'
_symmetry_Int_Tables_number 127
_symmetry_space_group_name_Hall '-P 4 2ab'
loop_
_atom_site_label
_atom_site_fract_x
_atom_site_fract_y
_atom_site_fract_z
Co1 0.122 0.378 0.000
Sn1 0.178 0.678 0.500
F1 0.000 0.000 0.500